Entry 1:
## ZrTeP2 (PBEsol)

Data for an optimized crystal structure of ZrTeP2.

POSCAR file:
```
ZrTeP2
1.0
-0.260 -0.803 4.671
3.975 -0.425 2.561
1.223 3.411 3.067
P Te Zr
2 1 1
Direct
0.000 0.000 0.000
0.250 0.250 0.250
0.500 0.500 0.500
0.750 0.750 0.750
```

Its uncorrected formation energy is 0.09 eV per atom. Its symmetry is F-43m (216).

=====

Entry 2:
## Na2CoO3 (PBEsol)

Data for an optimized crystal structure of Na2CoO3.

POSCAR file:
```
Na2CoO3
1.0
-1.827 0.666 -4.542
0.204 -5.990 -0.945
-10.211 -0.974 3.964
Na Co O
8 4 12
Direct
0.488 0.817 0.838
0.486 0.324 0.340
0.989 0.181 0.835
0.983 0.679 0.340
0.486 0.324 0.660
0.488 0.817 0.162
0.983 0.679 0.660
0.989 0.181 0.165
0.959 0.679 0.000
0.458 0.319 0.000
0.947 0.166 0.500
0.454 0.822 0.500
0.603 0.100 0.500
0.609 0.592 0.000
0.097 0.909 0.500
0.109 0.404 0.000
0.004 0.796 0.858
0.009 0.304 0.369
0.503 0.205 0.858
0.504 0.698 0.359
0.009 0.304 0.631
0.004 0.796 0.142
0.504 0.698 0.641
0.503 0.205 0.142
```

Its uncorrected formation energy is -1.20 eV per atom. Its symmetry is Pm (6).

=====

Entry 3:
## RbFePb2Se (PBEsol)

Data for an optimized crystal structure of RbFePb2Se.

POSCAR file:
```
RbFePb2Se
1.0
-3.848 -3.786 -1.752
3.487 -4.227 1.477
-2.420 -0.079 5.487
Pb Se Rb Fe
2 1 1 1
Direct
0.000 0.500 0.000
0.500 0.000 0.000
0.000 0.000 0.000
0.000 0.000 0.500
0.500 0.500 0.500
```

Its uncorrected formation energy is 0.85 eV per atom. Its symmetry is P4/mmm (123).

=====

Entry 4:
## ScTa2Cl (PBEsol)

Data for an optimized crystal structure of ScTa2Cl.

POSCAR file:
```
ScTa2Cl
1.0
3.123 0.007 0.000
-0.015 4.450 0.000
0.000 0.000 5.423
Sc Cl Ta
1 1 2
Direct
0.500 0.500 0.500
0.000 0.000 0.500
0.236 0.268 0.000
0.764 0.732 0.000
```

Its uncorrected formation energy is 0.14 eV per atom. Its symmetry is P2/m (10).

=====

Entry 5:
## BaZrTe2 (PBEsol)

Data for an optimized crystal structure of BaZrTe2.

POSCAR file:
```
BaZrTe2
1.0
-3.115 3.512 -2.752
-4.903 1.371 1.920
-0.851 5.002 1.966
Ba Te Zr
1 2 1
Direct
0.500 0.500 0.500
0.000 0.000 0.000
0.750 0.750 0.750
0.250 0.250 0.250
```

Its uncorrected formation energy is -0.11 eV per atom. Its symmetry is F-43m (216).

=====

Entry 6:
## TcHg3H (PBEsol)

Data for an optimized crystal structure of TcHg3H.

POSCAR file:
```
TcHg3H
1.0
4.278 0.000 0.000
0.000 4.278 0.000
0.000 0.000 4.278
H Hg Tc
1 3 1
Direct
0.000 0.000 0.000
0.000 0.500 0.000
0.000 0.000 0.500
0.500 0.000 0.000
0.500 0.500 0.500
```

The raw total energy is -12.45 eV per cell. Its symmetry is Pm-3m (221).

=====

Entry 7:
## Si4SbO10 (PBEsol)

Data for an optimized crystal structure of Si4SbO10.

POSCAR file:
```
Si4SbO10
1.0
7.344 0.000 0.000
0.000 7.344 0.000
0.000 0.000 15.809
Si Sb O
16 4 40
Direct
0.173 0.253 0.651
0.827 0.747 0.651
0.253 0.173 0.849
0.753 0.327 0.651
0.247 0.673 0.651
0.327 0.753 0.849
0.673 0.247 0.849
0.747 0.827 0.849
0.327 0.247 0.349
0.673 0.753 0.349
0.247 0.327 0.151
0.747 0.173 0.349
0.253 0.827 0.349
0.173 0.747 0.151
0.827 0.253 0.151
0.753 0.673 0.151
0.500 0.000 0.555
0.000 0.500 0.945
0.000 0.500 0.445
0.500 0.000 0.055
0.262 0.095 0.593
0.738 0.905 0.593
0.095 0.262 0.907
0.595 0.238 0.593
0.405 0.762 0.593
0.238 0.595 0.907
0.762 0.405 0.907
0.905 0.738 0.907
0.238 0.405 0.407
0.762 0.595 0.407
0.405 0.238 0.093
0.905 0.262 0.407
0.095 0.738 0.407
0.262 0.905 0.093
0.738 0.095 0.093
0.251 0.044 0.370
0.595 0.762 0.093
0.751 0.544 0.630
0.456 0.249 0.870
0.956 0.251 0.630
0.044 0.749 0.630
0.251 0.956 0.870
0.749 0.044 0.870
0.544 0.751 0.870
0.707 0.707 0.250
0.793 0.207 0.250
0.207 0.793 0.250
0.293 0.293 0.250
0.793 0.793 0.750
0.707 0.293 0.750
0.293 0.707 0.750
0.207 0.207 0.750
0.956 0.749 0.130
0.751 0.456 0.130
0.249 0.544 0.130
0.456 0.751 0.370
0.544 0.249 0.370
0.044 0.251 0.130
0.749 0.956 0.370
0.249 0.456 0.630
```

Its uncorrected formation energy is -2.35 eV per atom. Its symmetry is P4/ncc (130).

=====

Entry 8:
## MnPO4 (PBEsol)

Data for an optimized crystal structure of MnPO4.

POSCAR file:
```
MnPO4
1.0
-4.235 -4.576 -3.204
5.095 -0.137 -6.538
7.454 -10.977 5.826
Mn P O
12 12 48
Direct
0.064 0.257 0.915
0.961 0.261 0.584
0.461 0.239 0.916
0.481 0.253 0.251
0.564 0.243 0.585
0.981 0.247 0.249
0.019 0.753 0.751
0.436 0.757 0.415
0.519 0.747 0.749
0.539 0.761 0.084
0.039 0.739 0.416
0.936 0.743 0.085
0.261 0.955 0.589
0.228 0.911 0.233
0.244 0.893 0.934
0.744 0.607 0.566
0.728 0.589 0.267
0.761 0.545 0.911
0.239 0.455 0.089
0.272 0.411 0.733
0.256 0.393 0.434
0.756 0.107 0.066
0.772 0.089 0.767
0.739 0.045 0.411
0.734 0.117 0.510
0.445 0.051 0.612
0.249 0.082 0.946
0.202 0.082 0.267
0.947 0.135 0.826
0.086 0.063 0.597
0.586 0.105 0.820
0.770 0.145 0.167
0.927 0.181 0.014
0.745 0.182 0.339
0.568 0.174 0.027
0.768 0.205 0.679
0.914 0.937 0.403
0.555 0.949 0.388
0.751 0.918 0.054
0.798 0.918 0.733
0.053 0.865 0.174
0.266 0.883 0.490
0.414 0.895 0.180
0.230 0.855 0.833
0.073 0.819 0.986
0.255 0.818 0.661
0.432 0.826 0.973
0.232 0.795 0.321
0.732 0.705 0.179
0.932 0.674 0.527
0.755 0.682 0.839
0.573 0.681 0.514
0.730 0.645 0.667
0.268 0.295 0.821
0.766 0.617 0.010
0.553 0.635 0.326
0.251 0.582 0.446
0.055 0.551 0.112
0.298 0.582 0.767
0.414 0.563 0.097
0.586 0.437 0.903
0.702 0.418 0.233
0.945 0.449 0.888
0.749 0.418 0.554
0.447 0.365 0.674
0.234 0.383 0.990
0.086 0.395 0.680
0.270 0.355 0.333
0.427 0.319 0.486
0.245 0.318 0.161
0.068 0.326 0.473
0.914 0.605 0.320
```

Its uncorrected formation energy is -1.89 eV per atom. Its symmetry is P2_1/c (14).

=====

Entry 9:
## LaCrRe2 (PBEsol)

Data for an optimized crystal structure of LaCrRe2.

POSCAR file:
```
LaCrRe2
1.0
2.867 0.000 0.000
0.000 4.815 0.000
-1.434 -2.408 4.870
Cr La Re
1 1 2
Direct
0.500 0.000 0.000
0.000 0.500 0.000
0.784 0.784 0.568
0.216 0.216 0.432
```

Its symmetry is Immm (71). The calculated formation energy comes out at 641 meV/atom.

=====

Entry 10:
## Y2MoO6 (PBEsol)

Data for an optimized crystal structure of Y2MoO6.

POSCAR file:
```
Y2MoO6
1.0
5.317 -0.007 -0.005
2.547 9.459 0.005
2.547 3.115 8.931
Y Mo O
8 4 24
Direct
0.750 0.607 0.393
0.250 0.393 0.607
0.750 0.135 0.865
0.250 0.865 0.135
0.379 0.448 0.215
0.121 0.785 0.552
0.879 0.215 0.448
0.621 0.552 0.785
0.562 0.012 0.296
0.938 0.704 0.988
0.438 0.988 0.704
0.062 0.296 0.012
0.922 0.609 0.574
0.578 0.426 0.391
0.078 0.391 0.426
0.422 0.574 0.609
0.918 0.337 0.809
0.582 0.191 0.663
0.082 0.663 0.191
0.418 0.809 0.337
0.371 0.326 0.884
0.129 0.116 0.674
0.629 0.674 0.116
0.871 0.884 0.326
0.638 0.184 0.287
0.862 0.713 0.816
0.362 0.816 0.713
0.138 0.287 0.184
0.514 0.049 0.111
0.986 0.889 0.951
0.759 0.433 0.025
0.014 0.111 0.049
0.259 0.025 0.433
0.241 0.567 0.975
0.741 0.975 0.567
0.486 0.951 0.889
```

Its uncorrected formation energy is -3.00 eV per atom. Its symmetry is C2/c (15).

=====

Entry 11:
## ScPtSe2 (PBEsol)

Data for an optimized crystal structure of ScPtSe2.

POSCAR file:
```
ScPtSe2
1.0
-2.599 1.669 1.976
-0.668 -1.084 3.439
4.287 5.392 4.487
Sc Se Pt
1 2 1
Direct
0.000 0.000 0.000
0.890 0.890 0.329
0.110 0.110 0.671
0.500 0.500 0.500
```

Its uncorrected formation energy is -0.29 eV per atom. Its symmetry is R-3m (166).

=====

Entry 12:
## Si2HgMo (PBEsol)

Data for an optimized crystal structure of Si2HgMo.

POSCAR file:
```
Si2HgMo
1.0
3.386 0.000 0.000
0.000 3.386 0.000
0.000 0.000 5.451
Hg Mo Si
1 1 2
Direct
0.000 0.000 0.476
0.500 0.500 0.804
0.000 0.000 0.976
0.500 0.500 0.244
```

Its uncorrected formation energy is 0.11 eV per atom. Its symmetry is P4mm (99).